1.
Computed, not measured: a relaxed Nb2AlHIr crystal at the GGA-PBE level of DFT.

Results
Theoretical density, g cm⁻³: 9.9
Magnetic moment, μB/f.u.: 0.000
VASP energy, eV per formula unit: -37.68
E above lowest polymorph, meV/atom: 0
SG: P4/mmm (123)

a b c (Å): 4.1046 4.1046 4.0466
angles (deg): 90.00 90.00 90.00
Closest atoms and distances in Å follow each position.
Fractional coordinates of all 5 atoms:
Nb1 0.0000 0.5000 0.0000  2 H 2.05
Nb2 0.5000 0.0000 0.0000  2 H 2.05
Al1 0.0000 0.0000 0.5000  8 Nb 2.88, 4 Ir 2.90
H1 0.5000 0.5000 0.0000  2 Ir 2.02, 4 Nb 2.05
Ir1 0.5000 0.5000 0.5000  2 H 2.02


2.
Computed, not measured: a relaxed Ce2ErUS4 crystal at the GGA-PBE level of DFT.

Results
Theoretical density, g cm⁻³: 7.8
Magnetic moment, μB/f.u.: 3.499
VASP energy, eV per formula unit: -59.05
ΔE_f (raw), eV per formula unit: -14.824
SG: P2/m (10)

a b c (Å): 6.8327 3.9194 6.8521
angles (deg): 90.00 109.15 90.00
Closest atoms and distances in Å follow each position.
Fractional coordinates of all 8 atoms:
Ce1 0.0000 0.0000 0.0000  6 S 2.85
Ce2 0.0000 0.5000 0.5000  6 S 2.82
Er1 0.5000 0.0000 0.5000  6 S 2.73
U1 0.5000 0.5000 0.0000  6 S 2.75
S1 0.2616 0.0000 0.7512  1 Er 2.73, 2 U 2.75, 3 Ce 2.82-2.85
S2 0.2633 0.5000 0.2569  2 Er 2.73, 1 U 2.75, 3 Ce 2.82-2.85
S3 0.7367 0.5000 0.7431  2 Er 2.73, 1 U 2.75, 3 Ce 2.82-2.85
S4 0.7384 0.0000 0.2488  1 Er 2.73, 2 U 2.75, 3 Ce 2.82-2.85


3.
Computed, not measured: a relaxed LiMg2Al crystal at the GGA-PBE level of DFT.

Results
E_form, eV/atom: -0.03
Theoretical density, g cm⁻³: 1.7
Magnetic moment, μB/f.u.: 0.000
VASP energy, eV per formula unit: -8.98
SG: Pm (6)

a b c (Å): 3.1055 4.5808 5.7217
angles (deg): 90.00 104.26 90.00
Closest atoms and distances in Å follow each position.
Fractional coordinates of all 4 atoms:
Li1 0.0000 0.0000 0.0000  2 Al 2.70, 6 Mg 2.96-3.01
Mg1 0.2822 0.0000 0.5327  3 Li 2.96-3.03, 4 Al 2.99-3.01, 4 Mg 3.11-3.25
Mg2 0.6025 0.5000 0.2086  3 Al 2.96-3.02, 4 Li 2.99-3.01, 4 Mg 3.11-3.25
Al1 0.8848 0.5000 0.7426  2 Li 2.70, 6 Mg 2.96-3.01


4.
Computed, not measured: a relaxed Ce2ErTe crystal at the GGA-PBE level of DFT.

Results
Theoretical density, g cm⁻³: 8.2
Magnetic moment, μB/f.u.: 0.024
VASP energy, eV per formula unit: -21.64
E above lowest polymorph, meV/atom: 0
ΔE_f (raw), eV per formula unit: -2.072
SG: P4/mmm (123)

a b c (Å): 4.1795 4.1795 6.6951
angles (deg): 90.00 90.00 90.00
Closest atoms and distances in Å follow each position.
Fractional coordinates of all 4 atoms:
Ce1 0.0000 0.0000 0.1969  1 Ce 2.64
Ce2 0.0000 0.0000 0.8031  1 Ce 2.64
Er1 0.5000 0.5000 0.5000  2 Te 3.35, 8 Ce 3.58
Te1 0.5000 0.5000 0.0000  8 Ce 3.24, 2 Er 3.35


5.
Computed, not measured: a relaxed La6MgAg5 crystal at the GGA-PBE level of DFT.

Results
E_form, eV/atom: -0.23
Theoretical density, g cm⁻³: 6.8
Magnetic moment, μB/f.u.: 0.000
VASP energy, eV per formula unit: -48.15
SG: Immm (71)

a b c (Å): 9.4340 9.4340 9.4340
angles (deg): 146.56 131.92 59.84
Closest atoms and distances in Å follow each position.
Fractional coordinates of all 12 atoms:
La1 0.0739 0.3283 0.7455  7 Ag 3.28-3.45, 1 Mg 3.42
La2 0.2360 0.0000 0.2360  6 Ag 3.20-3.28, 2 Mg 3.39
La3 0.4172 0.6717 0.7455  7 Ag 3.28-3.45, 1 Mg 3.42
La4 0.5828 0.3283 0.2545  7 Ag 3.28-3.45, 1 Mg 3.42
La5 0.7640 0.0000 0.7640  6 Ag 3.20-3.28, 2 Mg 3.39
La6 0.9261 0.6717 0.2545  7 Ag 3.28-3.45, 1 Mg 3.42
Mg1 0.5000 0.5000 0.0000  8 La 3.39-3.42, 4 Ag 3.68
Ag1 0.0000 0.5000 0.5000  8 La 3.26-3.38
Ag2 0.1672 0.1672 0.0000  8 La 3.28-3.31
Ag3 0.3485 0.8485 0.5000  8 La 3.20-3.45
Ag4 0.6515 0.1515 0.5000  8 La 3.20-3.45
Ag5 0.8328 0.8328 0.0000  8 La 3.28-3.31


6.
Computed, not measured: a relaxed Tb2Se2S crystal at the GGA-PBE level of DFT.

Results
Theoretical density, g cm⁻³: 6.8
Magnetic moment, μB/f.u.: 0.000
VASP energy, eV per formula unit: -29.67
E above lowest polymorph, meV/atom: 41
ΔE_f (raw), eV per formula unit: -9.314
SG: Cmc2_1 (36)

a b c (Å): 8.8211 8.8211 7.2215
angles (deg): 90.00 90.00 153.62
Closest atoms and distances in Å follow each position.
Fractional coordinates of all 10 atoms:
Tb1 0.0514 0.9486 0.5000  2 S 2.78-2.95, 4 Se 2.90-2.95
Tb2 0.3151 0.6849 0.5319  2 S 2.70, 3 Se 2.86-2.96
Tb3 0.6849 0.3151 0.0319  2 S 2.70, 3 Se 2.86-2.96
Tb4 0.9486 0.0514 0.0000  2 S 2.78-2.95, 4 Se 2.90-2.95
Se1 0.3076 0.6924 0.9567  5 Tb 2.96-3.17, 1 Se 3.26
Se2 0.4650 0.5350 0.7040  5 Tb 2.86-2.95
Se3 0.5350 0.4650 0.2040  5 Tb 2.86-2.95
Se4 0.6924 0.3076 0.4567  5 Tb 2.96-3.17, 1 Se 3.26
S1 0.1099 0.8901 0.8593  4 Tb 2.70-2.95
S2 0.8901 0.1099 0.3593  4 Tb 2.70-2.95


7.
Computed, not measured: a relaxed SrCd2W crystal at the GGA-PBE level of DFT.

Results
E_form, eV/atom: 0.68
Theoretical density, g cm⁻³: 8.7
Magnetic moment, μB/f.u.: 0.431
VASP energy, eV per formula unit: -13.76
E above lowest polymorph, meV/atom: 122
SG: C2/m (12)

a b c (Å): 5.3132 5.3132 6.2995
angles (deg): 96.60 96.60 32.38
Closest atoms and distances in Å follow each position.
Fractional coordinates of all 4 atoms:
Sr1 0.0000 0.0000 0.0000  2 Sr 2.96, 2 Cd 3.26
Cd1 0.2394 0.2394 0.7000  4 Cd 2.95-2.96, 3 W 3.00-3.08, 1 Sr 3.26
Cd2 0.7606 0.7606 0.3000  4 Cd 2.95-2.96, 3 W 3.00-3.08, 1 Sr 3.26
W1 0.5000 0.5000 0.5000  2 W 2.96, 6 Cd 3.00-3.08


8.
Computed, not measured: a relaxed Cs2LiZrBr6 crystal at the GGA-PBE level of DFT.

Results
Theoretical density, g cm⁻³: 4.0
Magnetic moment, μB/f.u.: 1.001
VASP energy, eV per formula unit: -37.81
E above lowest polymorph, meV/atom: 0
ΔE_f (raw), eV per formula unit: -15.605
SG: R-3m (166)

a b c (Å): 13.6874 13.6874 13.6874
angles (deg): 33.41 33.41 33.41
Closest atoms and distances in Å follow each position.
Fractional coordinates of all 20 atoms:
Cs1 0.1246 0.1246 0.1246  12 Br 3.93-3.99
Cs2 0.2927 0.2927 0.2927  12 Br 3.90-4.03
Cs3 0.7073 0.7073 0.7073  12 Br 3.90-4.03
Cs4 0.8754 0.8754 0.8754  12 Br 3.93-3.99
Li1 0.4159 0.4159 0.4159  6 Br 2.75-2.83
Li2 0.5841 0.5841 0.5841  6 Br 2.75-2.83
Zr1 0.0000 0.0000 0.0000  6 Br 2.73
Zr2 0.5000 0.5000 0.5000  6 Br 2.72
Br1 0.1364 0.6198 0.6198  1 Zr 2.72, 1 Li 2.75
Br2 0.2041 0.2041 0.7132  1 Zr 2.73, 1 Li 2.83
Br3 0.2041 0.7132 0.2041  1 Zr 2.73, 1 Li 2.83
Br4 0.2868 0.7959 0.7959  1 Zr 2.73, 1 Li 2.83
Br5 0.3802 0.3802 0.8636  1 Zr 2.72, 1 Li 2.75
Br6 0.3802 0.8636 0.3802  1 Zr 2.72, 1 Li 2.75
Br7 0.6198 0.1364 0.6198  1 Zr 2.72, 1 Li 2.75
Br8 0.6198 0.6198 0.1364  1 Zr 2.72, 1 Li 2.75
Br9 0.7132 0.2041 0.2041  1 Zr 2.73, 1 Li 2.83
Br10 0.7959 0.2868 0.7959  1 Zr 2.73, 1 Li 2.83
Br11 0.7959 0.7959 0.2868  1 Zr 2.73, 1 Li 2.83
Br12 0.8636 0.3802 0.3802  1 Zr 2.72, 1 Li 2.75